{"formula": "AgHAu2I", "functional": "PBE-GGA", "state": "relaxed", "cell": [[3.9752, 0.0000, 0.0000], [0.0000, 6.9022, 0.0000], [0.0000, 0.0000, 3.9752]], "species": ["Ag", "Au", "Au", "H", "I"], "frac_coords": [[0.5000, 0.5000, 0.5000], [0.5000, 0.0000, 0.0000], [0.0000, 0.0000, 0.5000], [0.0000, 0.0000, 0.0000], [0.0000, 0.5000, 0.0000]], "energy_ev_per_fu": -13.3, "magnetic_moment_mub_per_atom": 0.000, "dos_at_fermi_per_ev_fu": 1.399, "vol_a3_per_atom": 21.81}

{"formula": "Mg2RhBr", "functional": "PBE-GGA", "state": "relaxed", "cell": [[3.2618, 0.0144, 0.0000], [-0.0181, 3.2618, 0.0000], [0.0000, 0.0000, 7.2222]], "species": ["Br", "Mg", "Mg", "Rh"], "frac_coords": [[0.5000, 0.5000, 0.7500], [0.0000, 0.0000, 0.0465], [0.0000, 0.0000, 0.4535], [0.5000, 0.5000, 0.2500]], "energy_ev_per_fu": -14.6, "e_form_raw_ev_per_atom": -0.586, "magnetic_moment_mub_per_atom": 0.000, "dos_at_fermi_per_ev_fu": 0.504, "vol_a3_per_atom": 19.21}

{"formula": "Th3CoCu3", "functional": "PBE-GGA", "state": "relaxed", "cell": [[4.1850, 0.0000, -0.9130], [-0.1830, 3.6117, -0.8390], [-0.0588, 0.3607, 9.7788]], "species": ["Th", "Th", "Th", "Cu", "Cu", "Cu", "Co"], "frac_coords": [[0.3221, 0.8221, 0.6442], [0.9937, 0.9937, 0.9873], [0.6893, 0.1893, 0.3787], [0.1370, 0.6370, 0.2739], [0.8621, 0.3621, 0.7242], [0.5637, 0.5637, 0.1275], [0.4321, 0.4321, 0.8642]], "energy_ev_per_fu": -42.9, "magnetic_moment_mub_per_atom": 0.000, "dos_at_fermi_per_ev_fu": 6.408, "vol_a3_per_atom": 21.28, "formation_enthalpy_0k_ev_per_fu": -1.2}

{"formula": "Pm4Ni2Ag", "functional": "PBE-GGA", "state": "relaxed", "cell": [[-1.4765, -6.8026, 1.0829], [1.1706, 0.5671, -6.8712], [7.2969, 1.7471, 4.0044]], "species": ["Pm", "Pm", "Pm", "Pm", "Pm", "Pm", "Pm", "Pm", "Ni", "Ni", "Ni", "Ni", "Ag", "Ag"], "frac_coords": [[0.7581, 0.1758, 0.7843], [0.9013, 0.6405, 0.1845], [0.9670, 0.2068, 0.3169], [0.3819, 0.4731, 0.1896], [0.4415, 0.0331, 0.3091], [0.8401, 0.5992, 0.6084], [0.2233, 0.1392, 0.7153], [0.4831, 0.7402, 0.8916], [0.5838, 0.2138, 0.0619], [0.1119, 0.5712, 0.9357], [0.4257, 0.3839, 0.5646], [0.7706, 0.9013, 0.4379], [0.0465, 0.9530, 0.9845], [0.3151, 0.7188, 0.5157]], "energy_ev_per_fu": -35.0, "magnetic_moment_mub_per_atom": 0.000, "dos_at_fermi_per_ev_fu": 6.874, "vol_a3_per_atom": 24.97, "formation_enthalpy_0k_ev_per_fu": -1.5}